#P
Crystalline KCd3Rh at its relaxed geometry. Source: Alexandria via LeMat-Bulk, functional PBE.

## Properties
Magnetic moment ... 0.000 μB per atom
V ... 25.7 Å³/atom

Lattice parameters (Å, degrees): 13.612 9.792 8.266 90.00 111.19 90.00
Space group C2/c (No. 15)
One atom of each set of equivalent atoms:
K1 0.000 0.095 0.250 (multiplicity 4)
K2 0.000 0.261 0.750 (multiplicity 4)
Cd1 0.068 0.418 0.148 (multiplicity 8)
Cd2 0.205 0.373 0.549 (multiplicity 8)
Cd3 0.222 0.126 0.074 (multiplicity 8)
Rh1 0.226 0.125 0.739 (multiplicity 8)


#Q
Crystalline KCd3Rh at its relaxed geometry. Source: Alexandria via LeMat-Bulk, functional PBE.

## Properties
Magnetic moment ... 0.000 μB per atom
V ... 24.9 Å³/atom

Lattice parameters (Å, degrees): 6.0581 6.0581 11.7650 90.00 90.00 120.00
Space group R3m (No. 160, hexagonal axes)
One atom of each set of equivalent atoms:
K1 0.0000 0.0000 0.0000 (multiplicity 3)
Cd1 0.0036 0.5018 0.1078 (multiplicity 9)
Rh1 0.0000 0.0000 0.2552 (multiplicity 3)


#R
Crystalline KCd3Rh at its relaxed geometry. Source: Alexandria via LeMat-Bulk, functional PBE.

## Properties
Magnetic moment ... 0.000 μB per atom
V ... 28.0 Å³/atom

Lattice parameters (Å, degrees): 5.405 19.052 5.444 90.00 90.00 90.00
Space group Cmcm (No. 63)
One atom of each set of equivalent atoms:
K1 0.000 0.201 0.250 (multiplicity 4)
Cd1 0.000 0.000 0.000 (multiplicity 4)
Cd2 0.242 0.386 0.250 (multiplicity 8)
Rh1 0.000 0.478 0.750 (multiplicity 4)


Relative energies, unit meV per atom: #P 0; #Q 296; #R 178


#P
Crystalline KCd3Rh at its relaxed geometry. Source: Alexandria via LeMat-Bulk, functional PBE.

## Properties
Magnetic moment ... 0.000 μB per atom
V ... 25.0 Å³/atom

Lattice parameters (Å, degrees): 3.091 6.223 12.992 90.00 90.00 90.00
Space group Amm2 (No. 38)
One atom of each set of equivalent atoms:
K1 0.000 0.000 0.000 (multiplicity 2)
Cd1 0.000 0.245 0.262 (multiplicity 4)
Cd2 0.500 0.000 0.598 (multiplicity 2)
Rh1 0.500 0.000 0.392 (multiplicity 2)


#Q
Crystalline KCd3Rh at its relaxed geometry. Source: Alexandria via LeMat-Bulk, functional PBE.

## Properties
Magnetic moment ... 0.000 μB per atom
V ... 33.4 Å³/atom

Lattice parameters (Å, degrees): 5.228 5.228 24.474 90.00 90.00 90.00
Space group I-4m2 (No. 119)
One atom of each set of equivalent atoms:
K1 0.000 0.000 0.000 (multiplicity 2)
K2 0.000 0.500 0.250 (multiplicity 2)
Cd1 0.000 0.000 0.338 (multiplicity 4)
Cd2 0.000 0.245 0.133 (multiplicity 8)
Rh1 0.000 0.500 0.699 (multiplicity 4)


#R
Crystalline KCd3Rh at its relaxed geometry. Source: Alexandria via LeMat-Bulk, functional PBE.

## Properties
Magnetic moment ... 0.000 μB per atom
V ... 27.3 Å³/atom

Lattice parameters (Å, degrees): 7.3562 7.3562 17.4840 90.00 90.00 120.00
Space group R-3m (No. 166, hexagonal axes)
One atom of each set of equivalent atoms:
K1 0.0000 0.0000 0.0976 (multiplicity 6)
Cd1 0.0507 0.5254 0.0900 (multiplicity 18)
Rh1 0.0000 0.0000 0.3042 (multiplicity 6)


#S
Crystalline KCd3Rh at its relaxed geometry. Source: Alexandria via LeMat-Bulk, functional PBE.

## Properties
Magnetic moment ... 0.000 μB per atom
V ... 23.2 Å³/atom

Lattice parameters (Å, degrees): 8.583 5.630 10.871 90.00 117.82 90.00
Space group P2_1/c (No. 14)
One atom of each set of equivalent atoms:
K1 0.188 0.054 0.084 (multiplicity 4)
Cd1 0.010 0.541 0.200 (multiplicity 4)
Cd2 0.365 0.186 0.902 (multiplicity 4)
Cd3 0.386 0.556 0.156 (multiplicity 4)
Rh1 0.318 0.689 0.872 (multiplicity 4)


Relative energies, unit meV per atom: #P 41; #Q 299; #R 6; #S 0


#P
Crystalline KCdRh3 at its relaxed geometry. Source: Alexandria via LeMat-Bulk, functional PBE.

## Properties
Magnetic moment ... 0.479 μB per atom
V ... 25.7 Å³/atom

Lattice parameters (Å, degrees): 5.048 5.048 5.048 90.00 90.00 90.00
Space group Pm-3m (No. 221)
One atom of each set of equivalent atoms:
K1 0.000 0.000 0.000 (multiplicity 1)
Cd1 0.500 0.500 0.500 (multiplicity 1)
Rh1 0.000 0.500 0.500 (multiplicity 3)


#Q
Crystalline KCdRh3 at its relaxed geometry. Source: Alexandria via LeMat-Bulk, functional PBE.

## Properties
Magnetic moment ... 0.290 μB per atom
V ... 21.3 Å³/atom

Lattice parameters (Å, degrees): 4.738 4.738 4.738 90.00 90.00 90.00
Space group Pm-3m (No. 221)
One atom of each set of equivalent atoms:
K1 0.000 0.000 0.000 (multiplicity 1)
Cd1 0.500 0.500 0.500 (multiplicity 1)
Rh1 0.000 0.000 0.500 (multiplicity 3)


Relative energies, unit meV per atom: #P 0; #Q 676


#P
Crystalline KCd9Rh2 at its relaxed geometry. Source: Alexandria via LeMat-Bulk, functional PBE.

## Properties
Magnetic moment ... 0.000 μB per atom
V ... 25.1 Å³/atom

Lattice parameters (Å, degrees): 9.1501 9.1501 4.1521 90.00 90.00 120.00
Space group P6/mmm (No. 191)
One atom of each set of equivalent atoms:
K1 0.0000 0.0000 0.0000 (multiplicity 1)
Cd1 0.0000 0.5000 0.0000 (multiplicity 3)
Cd2 0.2093 0.4185 0.5000 (multiplicity 6)
Rh1 0.3333 0.6667 0.0000 (multiplicity 2)


#Q
Crystalline KCd9Rh2 at its relaxed geometry. Source: Alexandria via LeMat-Bulk, functional PBE.

## Properties
Magnetic moment ... 0.000 μB per atom
V ... 22.4 Å³/atom

Lattice parameters (Å, degrees): 11.827 11.827 7.680 90.00 90.00 90.00
Space group I4_1/amd (No. 141, origin choice 2)
One atom of each set of equivalent atoms:
K1 0.000 0.250 0.375 (multiplicity 4)
Cd1 0.000 0.250 0.875 (multiplicity 4)
Cd2 0.121 0.048 0.689 (multiplicity 32)
Rh1 0.000 0.000 0.000 (multiplicity 8)


Relative energies, unit meV per atom: #P 28; #Q 0